Record 1
29
Lattice="-4.6917 4.6917 4.6917 4.6917 -4.6917 4.6917 4.6917 4.6917 -4.6917" Properties=species:S:1:pos:R:3 comment="Ni6Pb4F19 | the Alexandria database | PBE with a Hubbard U | relaxed" energy_ev_per_atom=-4.425 pbc="T T T"
Ni 4.6917 1.4914 0.0000
Ni 4.6917 0.0000 3.2003
Ni 3.2003 4.6917 0.0000
Ni 1.4914 0.0000 4.6917
Ni 0.0000 4.6917 1.4914
Ni 0.0000 3.2003 4.6917
Pb 1.5126 1.5126 -1.5126
Pb 1.5126 -1.5126 1.5126
Pb -1.5126 1.5126 1.5126
Pb 3.1790 3.1790 3.1790
F 0.0000 0.0000 0.0000
F 3.2851 0.0000 0.0000
F 6.0983 0.0000 0.0000
F 4.4745 -1.5975 1.9893
F 6.2892 2.7023 -0.2172
F 1.9893 4.4745 -1.5975
F 3.0942 2.7023 0.2172
F 0.0000 3.2851 0.0000
F 0.0000 0.0000 3.2851
F 2.7023 0.2172 3.0942
F 4.9089 1.5975 1.9893
F 0.2172 3.0942 2.7023
F 2.7023 -0.2172 6.2892
F 0.0000 6.0983 0.0000
F 0.0000 0.0000 6.0983
F -1.5975 1.9893 4.4745
F 1.9893 4.9089 1.5975
F 1.5975 1.9893 4.9089
F -0.2172 6.2892 2.7023

Record 2
4
Lattice="1.6527 0.9542 7.6719 -1.6527 0.9542 7.6719 0.0000 -1.9083 7.6719" Properties=species:S:1:pos:R:3 comment="NiPbF2 | the Alexandria database | PBE with a Hubbard U | relaxed" e_above_lowest_polymorph_ev_per_fu=1.30 energy_ev_per_atom=-3.625 pbc="T T T"
Ni 0.0000 0.0000 0.0000
Pb 0.0000 0.0000 11.5079
F 0.0000 0.0000 1.8994
F 0.0000 0.0000 21.1164

Record 3
5
Lattice="5.0667 0.0000 0.0000 0.0000 5.0667 0.0000 0.0000 0.0000 5.0667" Properties=species:S:1:pos:R:3 comment="NiPb3F | the Alexandria database | PBE with a Hubbard U | relaxed" e_above_lowest_polymorph_ev_per_fu=0.00 energy_ev_per_atom=-3.101 pbc="T T T"
Ni 0.0000 0.0000 0.0000
Pb 0.0000 0.0000 2.5334
Pb 0.0000 2.5334 0.0000
Pb 2.5334 0.0000 0.0000
F 2.5334 2.5334 2.5334

Record 4
5
Lattice="5.0072 0.0000 0.0000 0.0000 5.0072 0.0000 0.0000 0.0000 5.0072" Properties=species:S:1:pos:R:3 comment="Ni3PbF | the Alexandria database | PBE with a Hubbard U | relaxed" e_above_lowest_polymorph_ev_per_fu=4.31 energy_ev_per_atom=-1.691 pbc="T T T"
Ni 0.0000 0.0000 2.5036
Ni 0.0000 2.5036 0.0000
Ni 2.5036 0.0000 0.0000
Pb 0.0000 0.0000 0.0000
F 2.5036 2.5036 2.5036

Record 5
5
Lattice="4.2578 0.0000 0.0000 0.0000 4.2578 0.0000 0.0000 0.0000 4.2578" Properties=species:S:1:pos:R:3 comment="Ni3PbF | the Alexandria database | PBE with a Hubbard U | relaxed" e_above_lowest_polymorph_ev_per_fu=0.00 energy_ev_per_atom=-2.554 pbc="T T T"
Ni 0.0000 0.0000 2.1289
Ni 0.0000 2.1289 0.0000
Ni 2.1289 0.0000 0.0000
Pb 2.1289 2.1289 2.1289
F 0.0000 0.0000 0.0000

Record 6
4
Lattice="0.0000 3.3361 3.3361 3.3361 0.0000 3.3361 3.3361 3.3361 0.0000" Properties=species:S:1:pos:R:3 comment="NiPb2F | the Alexandria database | PBE with a Hubbard U | relaxed" e_above_lowest_polymorph_ev_per_fu=0.00 energy_ev_per_atom=-3.146 pbc="T T T"
Ni 0.0000 0.0000 0.0000
Pb 1.6680 1.6680 1.6680
Pb 5.0041 5.0041 5.0041
F 3.3361 3.3361 3.3361

Record 7
18
Lattice="3.7025 2.1376 6.3134 -3.7025 2.1376 6.3134 0.0000 -4.2753 6.3134" Properties=species:S:1:pos:R:3 comment="Rb2Ni3PbF12 | the Alexandria database | PBE with a Hubbard U | relaxed" energy_ev_per_atom=-4.252 pbc="T T T"
Rb 0.0000 0.0000 1.8511
Rb 0.0000 0.0000 17.0891
Ni -1.8513 -1.0688 6.3134
Ni -1.8513 1.0688 12.6268
Ni 0.0000 2.1376 6.3134
Pb 0.0000 0.0000 9.4701
F -1.5675 -0.9050 8.3873
F 0.0000 -1.7030 6.0150
F -1.4748 0.8515 6.0150
F 0.0000 -1.8100 10.5529
F -1.5675 0.9050 10.5529
F -1.4748 -0.8515 12.9252
F 1.4748 0.8515 6.0150
F 1.5675 -0.9050 8.3873
F 0.0000 1.8100 8.3873
F 1.4748 -0.8515 12.9252
F 0.0000 1.7030 12.9252
F 1.5675 0.9050 10.5529

Record 8
10
Lattice="0.0000 4.4694 4.4694 4.4694 0.0000 4.4694 4.4694 4.4694 0.0000" Properties=species:S:1:pos:R:3 comment="Rb2NiPbF6 | the Alexandria database | PBE with a Hubbard U | relaxed" energy_ev_per_atom=-4.428 pbc="T T T"
Rb 2.2347 2.2347 2.2347
Rb 6.7040 6.7040 6.7040
Ni 0.0000 0.0000 0.0000
Pb 4.4694 4.4694 4.4694
F 4.4694 4.4694 2.0415
F 4.4694 2.0415 4.4694
F 6.8972 4.4694 4.4694
F 2.0415 4.4694 4.4694
F 4.4694 6.8972 4.4694
F 4.4694 4.4694 6.8972

What did the third record say?
5
Lattice="5.0667 0.0000 0.0000 0.0000 5.0667 0.0000 0.0000 0.0000 5.0667" Properties=species:S:1:pos:R:3 comment="NiPb3F | the Alexandria database | PBE with a Hubbard U | relaxed" e_above_lowest_polymorph_ev_per_fu=0.00 energy_ev_per_atom=-3.101 pbc="T T T"
Ni 0.0000 0.0000 0.0000
Pb 0.0000 0.0000 2.5334
Pb 0.0000 2.5334 0.0000
Pb 2.5334 0.0000 0.0000
F 2.5334 2.5334 2.5334